[1]
Computed, not measured: a crystal of Tl2Cd2Pb relaxed with PBEsol at the SCAN level of DFT.

a b c (Å): 8.2882 8.2882 3.8294
angles (deg): 90.00 90.00 90.00
Last column: nearest neighbours and their distance in Å.
Fractional coordinates of all 10 atoms:
Tl (0.1717, 0.3283, 0.0000)  6 Cd 3.04-3.15
Tl (0.3283, 0.8283, 0.0000)  6 Cd 3.04-3.15
Tl (0.6717, 0.1717, 0.0000)  6 Cd 3.04-3.15
Tl (0.8283, 0.6717, 0.0000)  6 Cd 3.04-3.15
Cd (0.1274, 0.6274, 0.5000)  1 Cd 2.99, 6 Tl 3.04-3.15, 2 Pb 3.26
Cd (0.3726, 0.1274, 0.5000)  1 Cd 2.99, 6 Tl 3.04-3.15, 2 Pb 3.26
Cd (0.6274, 0.8726, 0.5000)  1 Cd 2.99, 6 Tl 3.04-3.15, 2 Pb 3.26
Cd (0.8726, 0.3726, 0.5000)  1 Cd 2.99, 6 Tl 3.04-3.15, 2 Pb 3.26
Pb (0.0000, 0.0000, 0.5000)  4 Cd 3.26, 8 Tl 3.62
Pb (0.5000, 0.5000, 0.5000)  4 Cd 3.26, 8 Tl 3.62

Results
Its total energy is -56.1934 eV/atom. Its density of states at the Fermi level is 4.324 states/eV per cell. As for the space group: P4/mbm.

=====

[2]
Computed, not measured: a crystal of Tl2CdPb relaxed with PBEsol at the SCAN level of DFT.

a b c (Å): 3.3220 3.3220 10.9201
angles (deg): 90.00 90.00 115.89
Last column: nearest neighbours and their distance in Å.
Fractional coordinates of all 4 atoms:
Tl (0.0000, 0.0000, 0.0000)  2 Cd 3.11, 6 Tl 3.32-3.35
Tl (0.5000, 0.5000, 0.2605)  8 Tl 3.32-3.53, 2 Pb 3.39
Cd (0.5000, 0.5000, 0.7655)  2 Tl 3.11, 2 Pb 3.16, 4 Cd 3.32
Pb (0.0000, 0.0000, 0.5256)  2 Cd 3.16, 6 Pb 3.32-3.53, 2 Tl 3.39

Results
Its total energy is -62.6788 eV/atom. Its density of states at the Fermi level is 1.782 states/eV per cell. As for the space group: Cmm2.

=====

[3]
Computed, not measured: a crystal of TlCd2Pb relaxed with PBEsol at the SCAN level of DFT.

a b c (Å): 5.9207 5.9207 5.5398
angles (deg): 105.71 105.71 32.83
Last column: nearest neighbours and their distance in Å.
Fractional coordinates of all 4 atoms:
Tl (0.0000, 0.0000, 0.0000)  7 Cd 3.24-3.28, 2 Tl 3.35, 3 Pb 3.47-3.54
Cd (0.4720, 0.4720, 0.4859)  4 Cd 3.03-3.35, 3 Pb 3.24-3.30, 4 Tl 3.24-3.26
Cd (0.7546, 0.7546, 0.2008)  4 Cd 3.03-3.35, 4 Pb 3.24-3.26, 3 Tl 3.25-3.28
Pb (0.2246, 0.2246, 0.6852)  7 Cd 3.24-3.30, 2 Pb 3.35, 3 Tl 3.47-3.54

Results
Its total energy is -52.1733 eV/atom. Its density of states at the Fermi level is 1.630 states/eV per cell. As for the space group: Cm.

=====

[4]
Computed, not measured: a crystal of Tl2CdPb relaxed with PBEsol at the SCAN level of DFT.

a b c (Å): 5.3476 5.3476 5.3476
angles (deg): 60.00 60.00 60.00
Last column: nearest neighbours and their distance in Å.
Fractional coordinates of all 4 atoms:
Tl (0.0000, 0.0000, 0.0000)  4 Cd 3.27, 4 Tl 3.27
Tl (0.2500, 0.2500, 0.2500)  4 Tl 3.27, 4 Pb 3.27
Cd (0.7500, 0.7500, 0.7500)  4 Tl 3.27, 4 Pb 3.27
Pb (0.5000, 0.5000, 0.5000)  4 Cd 3.27, 4 Tl 3.27

Results
Its total energy is -62.6742 eV/atom. Its density of states at the Fermi level is 1.204 states/eV per cell. As for the space group: F-43m.